No. 1
This record from Alexandria via LeMat-Bulk describes a relaxed Cu2SbW crystal. The functional is PBE.

```
Cu2SbW
1.0
-2.8589 1.8748 2.3227
-2.7537 -1.4578 -2.2128
-0.1888 -3.1502 2.3103
Cu Sb W
2 1 1
direct
0.0000 0.0000 0.0000
0.5000 0.5000 0.0000
0.5000 0.0000 0.5000
0.0000 0.5000 0.5000
```

**E_tot**: -5.863 eV per atom
**Formation energy from raw total energies**: 454 meV/atom
**Symmetry**: Pmmm, No. 47



No. 2
This record from Alexandria via LeMat-Bulk describes a relaxed Ba2DyUS6 crystal. The functional is PBE.

```
Ba2DyUS6
1.0
7.2229 0.0000 -0.0238
0.0000 7.4611 0.0000
0.0304 0.0000 10.3524
Ba Dy U S
4 2 2 12
direct
0.0156 0.9411 0.2505
0.5156 0.5589 0.7505
0.9844 0.0589 0.7495
0.4844 0.4411 0.2495
0.5000 0.0000 0.0000
0.0000 0.5000 0.5000
0.5000 0.0000 0.5000
0.0000 0.5000 0.0000
0.2900 0.7010 0.0424
0.7900 0.7990 0.5424
0.7100 0.2990 0.9576
0.2100 0.2010 0.4576
0.3007 0.7110 0.4562
0.8007 0.7890 0.9562
0.6993 0.2890 0.5438
0.1993 0.2110 0.0438
0.9183 0.5181 0.2450
0.4183 0.9819 0.7450
0.0817 0.4819 0.7550
0.5817 0.0181 0.2550
```

**E_tot**: -6.334 eV per atom
**Formation energy from raw total energies**: -1884 meV/atom
**Symmetry**: P2_1/c, No. 14



No. 3
This record from Alexandria via LeMat-Bulk describes a relaxed Rb3HgI4 crystal. The functional is PBE.

```
Rb3HgI4
1.0
7.2002 0.0000 0.0000
0.0000 10.5191 0.0000
0.0000 0.0000 12.5724
Rb Hg I
6 2 8
direct
0.5654 0.8518 0.0000
0.0665 0.6695 0.2397
0.5665 0.3305 0.2603
0.0654 0.1482 0.5000
0.5665 0.3305 0.7397
0.0665 0.6695 0.7603
0.0319 0.1846 0.0000
0.5319 0.8154 0.5000
0.0659 0.8684 0.0000
0.5851 0.1923 0.0000
0.0670 0.3195 0.2412
0.5670 0.6805 0.2588
0.0851 0.8077 0.5000
0.5659 0.1316 0.5000
0.5670 0.6805 0.7412
0.0670 0.3195 0.7588
```

**E_tot**: -2.244 eV per atom
**Formation energy from raw total energies**: -1069 meV/atom
**Symmetry**: Pmn2_1, No. 31



No. 4
This record from Alexandria via LeMat-Bulk describes a relaxed RbGd3Ir crystal. The functional is PBE.

```
RbGd3Ir
1.0
-1.4350 1.7432 -5.1594
-1.2503 -5.2984 -1.4424
-5.3004 0.7779 1.7371
Gd Ir Rb
3 1 1
direct
0.0000 0.5000 0.0000
0.0000 0.0000 0.5000
0.5000 0.0000 0.0000
0.0000 0.0000 0.0000
0.5000 0.5000 0.5000
```

**E_tot**: -10.543 eV per atom
**E_form**: -0.13 eV/atom
**Symmetry**: Pm-3m, No. 221



No. 5
This record from Alexandria via LeMat-Bulk describes a relaxed HfHRh3 crystal. The functional is PBE.

```
HfHRh3
1.0
-0.8302 -1.5050 4.9311
-4.4174 -5.1533 -2.3166
5.7249 -4.6963 -0.4696
Rh Hf H
12 4 4
direct
0.0402 0.9217 0.8451
0.4598 0.4217 0.3451
0.4598 0.0783 0.3451
0.9598 0.4217 0.1549
0.9598 0.0783 0.1549
0.5402 0.5783 0.6549
0.5402 0.9217 0.6549
0.0402 0.5783 0.8451
0.2805 0.2500 0.7204
0.2195 0.7500 0.2204
0.7195 0.7500 0.2796
0.7805 0.2500 0.7796
0.0000 0.0000 0.5000
0.5000 0.5000 0.0000
0.5000 0.0000 0.0000
0.0000 0.5000 0.5000
0.5712 0.2500 0.5798
0.9288 0.7500 0.0798
0.4288 0.7500 0.4202
0.0712 0.2500 0.9202
```

**E_tot**: -7.331 eV per atom
**Relative energy among the computed polymorphs**: 430.7 meV per atom
**Symmetry**: Pnma, No. 62



No. 6
This record from Alexandria via LeMat-Bulk describes a relaxed Mg2FeW crystal. The functional is PBE.

```
Mg2FeW
1.0
-1.2023 0.5360 -4.3945
-1.4418 -2.2761 0.1169
-4.7862 1.6320 1.5086
Fe Mg W
1 2 1
direct
0.5000 0.7500 0.7500
0.0000 0.9383 0.9934
0.0000 0.5617 0.5066
0.5000 0.2500 0.2500
```

**E_tot**: -5.704 eV per atom
**Relative energy among the computed polymorphs**: 261.7 meV per atom
**E_form**: 0.45 eV/atom
**Symmetry**: P2/m, No. 10



No. 7
This record from Alexandria via LeMat-Bulk describes a relaxed Na2TbThS4 crystal. The functional is PBE.

```
Na2TbThS4
1.0
-1.7135 -1.1603 3.4328
-1.9475 -5.9782 -2.9928
6.4596 -0.8913 2.9231
Na Tb Th S
2 1 1 4
direct
0.5000 0.0000 0.5000
0.0000 0.5000 0.5000
0.5000 0.5000 0.0000
0.0000 0.0000 0.0000
0.5000 0.2506 0.2381
0.5000 0.7494 0.7619
0.0000 0.2583 0.7681
0.0000 0.7417 0.2319
```

**E_tot**: -5.625 eV per atom
**Formation energy from raw total energies**: -1725 meV/atom
**Symmetry**: P2/m, No. 10



No. 8
This record from Alexandria via LeMat-Bulk describes a relaxed AcPm5Tl6 crystal. The functional is PBE.

```
AcPm5Tl6
1.0
-4.9012 1.9418 -1.8165
0.7017 -4.2760 -6.4621
-6.4099 -5.3711 2.8583
Ac Tl Pm
1 6 5
direct
0.0000 0.0000 0.0000
0.8287 0.7426 0.3423
0.8287 0.2574 0.3423
0.5000 0.2582 0.0000
0.5000 0.7418 0.0000
0.1713 0.7426 0.6577
0.1713 0.2574 0.6577
0.6634 0.5000 0.6732
0.3321 0.0000 0.3356
0.0000 0.5000 0.0000
0.6679 0.0000 0.6644
0.3366 0.5000 0.3268
```

**E_tot**: -3.875 eV per atom
**E_form**: -0.37 eV/atom
**Symmetry**: P2/m, No. 10



Volume values (in Å³/atom) by entry order: 15.4, 27.9, 59.5, 35.7, 13.9, 15.9, 23.6, 30.3.